## CePrBi2 (PBE)

Data for a geometry-optimized CePrBi2 structure. Values from VASP.

Geometry as Quantum ESPRESSO input:
```
&SYSTEM
  ibrav = 0, nat = 4, ntyp = 3
/
ATOMIC_SPECIES
Pr 140.91 Pr.upf
Bi 208.98 Bi.upf
Ce 140.12 Ce.upf
CELL_PARAMETERS angstrom
4.6210 0.0000 0.0000
2.3105 4.0019 0.0000
2.3105 1.3340 7.5491
ATOMIC_POSITIONS crystal
Pr 0.5000 0.5000 0.5000
Bi 0.7485 0.7485 0.7544
Bi 0.2515 0.2515 0.2456
Ce 0.0000 0.0000 0.0000
```

Output
DFT formation energy	-880	meV per atom
volume	34.90	Å³ per atom
total magnetic moment	0.8	μB per cell
energy above the most stable polymorph in this dataset	0.00	kJ per mole of atoms